(1)
ScAgTe4 after structural relaxation, computed with PBE.

It has space group F-43m (No. 216), with a = 8.874 Å, b = 8.874 Å, c = 8.874 Å, α = 90.00°, β = 90.00° and γ = 90.00°. The inequivalent atoms are Sc at (0.000, 0.000, 0.000), Ag at (0.250, 0.250, 0.250) and Te at (0.125, 0.125, 0.625).

For the density of states at the Fermi level, the calculation gives 4.24 states/eV/f.u. For the total magnetization, the calculation gives 0.02 μB per formula unit. For the uncorrected formation energy, the calculation gives 0.3615 eV/atom.

(2)
ScAg2Te after structural relaxation, computed with PBE.

It has space group Pm (No. 6), with a = 3.744 Å, b = 3.763 Å, c = 6.764 Å, α = 90.00°, β = 105.77° and γ = 90.00°. The inequivalent atoms are Sc at (0.000, 0.000, 0.000), Ag at (0.366, 0.500, 0.724), Ag at (0.785, 0.000, 0.560) and Te at (0.593, 0.500, 0.189).

For the density of states at the Fermi level, the calculation gives 2.01 states/eV/f.u. For the total magnetization, the calculation gives 0.00 μB per formula unit. For the uncorrected formation energy, the calculation gives -0.3786 eV/atom.

(3)
ScAg2Te after structural relaxation, computed with PBE.

It has space group Cmmm (No. 65), with a = 4.517 Å, b = 4.525 Å, c = 8.826 Å, α = 90.00°, β = 90.00° and γ = 90.00°. The inequivalent atoms are Sc at (0.000, 0.000, 0.000), Ag at (0.000, 0.500, 0.220) and Te at (0.000, 0.000, 0.500).

For the density of states at the Fermi level, the calculation gives 1.77 states/eV/f.u. For the total magnetization, the calculation gives 0.04 μB per formula unit. For the uncorrected formation energy, the calculation gives -0.0607 eV/atom.

- Which formula does entry 3 have?
  ScAg2Te